# 1
Compound: Mg2CdIn6
Source: the Alexandria database
Functional: PBE-GGA
Structure: relaxed

abc: 5.625 9.221 9.221
angles: 72.19 83.61 83.61
Element x y z (fractional)
In (0.526, 0.319, 0.571)
In (0.974, 0.429, 0.681)
In (0.312, 0.765, 0.013)
In (0.644, 0.100, 0.352)
In (0.144, 0.352, 0.100)
In (0.812, 0.013, 0.765)
In (0.474, 0.681, 0.429)
In (0.188, 0.987, 0.235)
In (0.026, 0.571, 0.319)
In (0.856, 0.648, 0.900)
In (0.688, 0.235, 0.987)
In (0.356, 0.900, 0.648)
Cd (0.750, 0.873, 0.127)
Cd (0.250, 0.127, 0.873)
Mg (0.914, 0.792, 0.542)
Mg (0.586, 0.458, 0.208)
Mg (0.086, 0.208, 0.458)
Mg (0.414, 0.542, 0.792)

Results
Its total magnetization is 0.0 Bohr magnetons per cell. Its energy is -2.29 eV/atom. The space-group type is C2/c (15). Its energy above the most stable polymorph in this dataset is 0 kJ/mol of formula units. Its calculated formation energy is -0.01 eV/atom.



# 2
Compound: PuCuPd6
Source: the Alexandria database
Functional: PBE-GGA
Structure: relaxed

abc: 4.019 5.694 5.694
angles: 90.06 90.00 90.00
Last column: magnetic moment on the atom in μB.
Element x y z (fractional)
Cu (0.500, 0.500, 0.500)  -0.03
Pd (0.000, 0.257, 0.743)  -0.14
Pd (0.000, 0.743, 0.743)  -0.14
Pd (0.500, 0.500, 0.000)  -0.10
Pd (0.000, 0.743, 0.257)  -0.14
Pd (0.500, 0.000, 0.500)  -0.10
Pd (0.000, 0.257, 0.257)  -0.14
Pu (0.500, 0.000, 0.000)  4.54

Results
Its total magnetization is 3.8 Bohr magnetons per cell. Its energy is -6.51 eV/atom. The space-group type is Cmmm (65). Its energy above the most stable polymorph in this dataset is 0 kJ/mol of formula units. Its calculated formation energy is -0.31 eV/atom.



# 3
Compound: Na3Sn5Te12
Source: the Alexandria database
Functional: PBE-GGA
Structure: relaxed

abc: 15.583 15.583 15.583
angles: 109.47 109.47 109.47
Element x y z (fractional)
Sn (0.250, 0.875, 0.125)
Sn (0.750, 0.125, 0.875)
Sn (0.125, 0.375, 0.250)
Sn (0.250, 0.375, 0.625)
Sn (0.000, 0.000, 0.000)
Sn (0.125, 0.750, 0.375)
Sn (0.000, 0.000, 0.500)
Sn (0.375, 0.125, 0.750)
Sn (0.625, 0.875, 0.250)
Sn (0.625, 0.750, 0.875)
Sn (0.750, 0.625, 0.375)
Sn (0.500, 0.500, 0.500)
Sn (0.875, 0.625, 0.750)
Sn (0.500, 0.000, 0.500)
Sn (0.000, 0.500, 0.000)
Sn (0.875, 0.250, 0.625)
Sn (0.000, 0.500, 0.500)
Sn (0.500, 0.000, 0.000)
Sn (0.375, 0.250, 0.125)
Sn (0.500, 0.500, 0.000)
Te (0.954, 0.369, 0.279)
Te (0.221, 0.675, 0.090)
Te (0.585, 0.954, 0.675)
Te (0.415, 0.046, 0.325)
Te (0.631, 0.046, 0.221)
Te (0.085, 0.175, 0.454)
Te (0.046, 0.415, 0.825)
Te (0.590, 0.721, 0.675)
Te (0.721, 0.590, 0.175)
Te (0.631, 0.585, 0.910)
Te (0.175, 0.085, 0.954)
Te (0.910, 0.085, 0.631)
Te (0.279, 0.869, 0.954)
Te (0.325, 0.546, 0.415)
Te (0.369, 0.415, 0.090)
Te (0.454, 0.675, 0.085)
Te (0.279, 0.410, 0.825)
Te (0.085, 0.910, 0.131)
Te (0.915, 0.090, 0.869)
Te (0.915, 0.825, 0.546)
Te (0.454, 0.779, 0.869)
Te (0.221, 0.546, 0.631)
Te (0.590, 0.869, 0.415)
Te (0.721, 0.131, 0.046)
Te (0.675, 0.221, 0.590)
Te (0.546, 0.221, 0.131)
Te (0.131, 0.410, 0.085)
Te (0.090, 0.175, 0.221)
Te (0.910, 0.825, 0.779)
Te (0.869, 0.590, 0.915)
Te (0.410, 0.279, 0.325)
Te (0.410, 0.131, 0.585)
Te (0.090, 0.915, 0.369)
Te (0.825, 0.910, 0.279)
Te (0.546, 0.325, 0.915)
Te (0.325, 0.779, 0.410)
Te (0.825, 0.915, 0.046)
Te (0.779, 0.325, 0.910)
Te (0.779, 0.454, 0.369)
Te (0.585, 0.631, 0.410)
Te (0.954, 0.585, 0.175)
Te (0.415, 0.369, 0.590)
Te (0.175, 0.090, 0.721)
Te (0.369, 0.954, 0.779)
Te (0.131, 0.721, 0.546)
Te (0.675, 0.454, 0.585)
Te (0.046, 0.631, 0.721)
Te (0.869, 0.279, 0.454)
Na (0.375, 0.750, 0.625)
Na (0.625, 0.375, 0.750)
Na (0.875, 0.125, 0.250)
Na (0.125, 0.250, 0.875)
Na (0.250, 0.625, 0.875)
Na (0.375, 0.625, 0.250)
Na (0.875, 0.750, 0.125)
Na (0.125, 0.875, 0.750)
Na (0.250, 0.125, 0.375)
Na (0.750, 0.375, 0.125)
Na (0.625, 0.250, 0.375)
Na (0.750, 0.875, 0.625)

Results
The calculation puts the formation energy from raw total energies at -0.2189 eV per atom. Its total magnetization is 0.0 Bohr magnetons per cell. Its energy is -3.30 eV/atom. The space-group type is Ia-3d (230).



# 4
Compound: TmInPtRh
Source: the Alexandria database
Functional: PBE-GGA
Structure: relaxed

abc: 4.447 4.447 4.875
angles: 117.13 117.13 90.00
Element x y z (fractional)
Rh (0.500, 0.500, 0.000)
In (0.250, 0.750, 0.500)
Pt (0.000, 0.000, 0.000)
Tm (0.750, 0.250, 0.500)

Results
Its total magnetization is 0.0 Bohr magnetons per cell. Its energy is -6.01 eV/atom. The space-group type is I-4m2 (119). Its energy above the most stable polymorph in this dataset is 0 kJ/mol of formula units. Its calculated formation energy is -0.86 eV/atom.



# 5
Compound: NaGa3Ge3
Source: the Alexandria database
Functional: PBE-GGA
Structure: relaxed

abc: 7.129 7.129 7.129
angles: 90.00 90.00 90.00
Element x y z (fractional)
Ga (0.000, 0.250, 0.500)
Ga (0.750, 0.500, 0.000)
Ga (0.250, 0.500, 0.000)
Ga (0.000, 0.750, 0.500)
Ga (0.500, 0.000, 0.750)
Ga (0.500, 0.000, 0.250)
Na (0.500, 0.500, 0.500)
Na (0.000, 0.000, 0.000)
Ge (0.500, 0.250, 0.000)
Ge (0.750, 0.000, 0.500)
Ge (0.500, 0.750, 0.000)
Ge (0.250, 0.000, 0.500)
Ge (0.000, 0.500, 0.750)
Ge (0.000, 0.500, 0.250)

Results
Its total magnetization is 0.0 Bohr magnetons per cell. Its energy is -3.40 eV/atom. The space-group type is Pm-3n (223). Its energy above the most stable polymorph in this dataset is 25 kJ/mol of formula units. Its calculated formation energy is 0.07 eV/atom.